1.
# Hf2Pt3Au3 GGA-PBE optimized geometry
data_Hf2Pt3Au3
_chemical_formula_sum 'Hf2 Pt3 Au3'
_cell_length_a 5.2413
_cell_length_b 5.2413
_cell_length_c 5.2413
_cell_angle_alpha 85.46
_cell_angle_beta 85.46
_cell_angle_gamma 94.54
_symmetry_space_group_name_H-M 'P 1'
_symmetry_Int_Tables_number 1
_symmetry_space_group_name_Hall 'P 1'
loop_
_atom_site_label
_atom_site_type_symbol
_atom_site_fract_x
_atom_site_fract_y
_atom_site_fract_z
Au1 Au 0.0000 0.2525 0.2525
Au2 Au 0.2525 0.7475 0.0000
Au3 Au 0.7475 0.0000 0.7475
Hf1 Hf 0.7198 0.7198 0.2802
Hf2 Hf 0.2802 0.2802 0.7198
Pt1 Pt 0.5000 0.2093 0.2093
Pt2 Pt 0.7907 0.5000 0.7907
Pt3 Pt 0.2093 0.7907 0.5000
# Formation energy in meV/atom: -725


2.
# HfPtAu2 GGA-PBE optimized geometry
data_HfPtAu2
_chemical_formula_sum 'Hf1 Pt1 Au2'
_cell_length_a 6.1949
_cell_length_b 6.1949
_cell_length_c 6.1949
_cell_angle_alpha 52.15
_cell_angle_beta 146.53
_cell_angle_gamma 141.21
_symmetry_space_group_name_H-M 'P 1'
_symmetry_Int_Tables_number 1
_symmetry_space_group_name_Hall 'P 1'
loop_
_atom_site_label
_atom_site_type_symbol
_atom_site_fract_x
_atom_site_fract_y
_atom_site_fract_z
Au1 Au 0.0000 0.2518 0.2518
Au2 Au 0.0000 0.7482 0.7482
Hf1 Hf 0.0000 0.0000 0.0000
Pt1 Pt 0.0000 0.5000 0.5000
# Formation energy in meV/atom: -208


3.
# HfPt2Au GGA-PBE optimized geometry
data_HfPt2Au
_chemical_formula_sum 'Hf2 Pt4 Au2'
_cell_length_a 4.7638
_cell_length_b 5.6354
_cell_length_c 5.0942
_cell_angle_alpha 89.95
_cell_angle_beta 90.00
_cell_angle_gamma 90.00
_symmetry_space_group_name_H-M 'P 1'
_symmetry_Int_Tables_number 1
_symmetry_space_group_name_Hall 'P 1'
loop_
_atom_site_label
_atom_site_type_symbol
_atom_site_fract_x
_atom_site_fract_y
_atom_site_fract_z
Pt1 Pt 0.2500 0.2558 0.3415
Pt2 Pt 0.2500 0.9951 0.8392
Pt3 Pt 0.7500 0.0049 0.1608
Pt4 Pt 0.7500 0.7442 0.6585
Hf1 Hf 0.7500 0.2314 0.6485
Hf2 Hf 0.2500 0.7686 0.3515
Au1 Au 0.7500 0.5062 0.1611
Au2 Au 0.2500 0.4938 0.8389
# Formation energy in meV/atom: -859


4.
# HfPt2Au GGA-PBE optimized geometry
data_HfPt2Au
_chemical_formula_sum 'Hf1 Pt2 Au1'
_cell_length_a 4.6198
_cell_length_b 4.6198
_cell_length_c 4.6198
_cell_angle_alpha 60.00
_cell_angle_beta 60.00
_cell_angle_gamma 60.00
_symmetry_space_group_name_H-M 'P 1'
_symmetry_Int_Tables_number 1
_symmetry_space_group_name_Hall 'P 1'
loop_
_atom_site_label
_atom_site_type_symbol
_atom_site_fract_x
_atom_site_fract_y
_atom_site_fract_z
Au1 Au 0.5000 0.5000 0.5000
Pt1 Pt 0.7500 0.7500 0.7500
Pt2 Pt 0.2500 0.2500 0.2500
Hf1 Hf 0.0000 0.0000 0.0000
# Formation energy in meV/atom: -733


Number 1: density 17858 kg/m³. Number 2: density 15603 kg/m³. Number 3: density 18592 kg/m³. Number 4: density 18235 kg/m³.